Material: Ta2SbPt
Method: DFT, GGA-PBE
State: optimized geometry

abc: 2.9561 4.3493 5.6910
angles: 90.00 97.39 90.00
Space group P2/m (No. 10)
Asymmetric unit:
Ta 0.0220 0.0000 0.2452 x2
Sb 0.5000 0.5000 0.5000 x1
Pt 0.5000 0.5000 0.0000 x1

The calculation puts the uncorrected formation energy at -122 meV per atom.

Material: TaSb2Pt
Method: DFT, GGA-PBE
State: optimized geometry

abc: 3.3576 3.3576 29.7818
angles: 90.00 90.00 120.00
Space group R3m (No. 160, hexagonal axes)
Asymmetric unit:
Ta 0.0000 0.0000 0.0000 x3
Sb 0.0000 0.0000 0.2563 x3
Sb 0.0000 0.0000 0.4663 x3
Pt 0.0000 0.0000 0.7243 x3

The calculation puts the uncorrected formation energy at 4 meV per atom.

Material: TaSbPt4
Method: DFT, GGA-PBE
State: optimized geometry

abc: 7.5277 7.5277 7.5277
angles: 90.00 90.00 90.00
Space group F-43m (No. 216)
Asymmetric unit:
Ta 0.0000 0.0000 0.0000 x4
Sb 0.2500 0.2500 0.2500 x4
Pt 0.1256 0.1256 0.6256 x16

The calculation puts the uncorrected formation energy at -22 meV per atom.

Material: Ta2Sb2Pt
Method: DFT, GGA-PBE
State: optimized geometry

abc: 7.2874 7.2874 3.8473
angles: 90.00 90.00 90.00
Space group P4/mbm (No. 127)
Asymmetric unit:
Ta 0.1397 0.3603 0.0000 x4
Sb 0.1585 0.6585 0.5000 x4
Pt 0.0000 0.0000 0.0000 x2

The calculation puts the uncorrected formation energy at 71 meV per atom.

Density of states at the Fermi level (states/eV/f.u.)
2.78 3.52 6.66 2.87
Mass density (g/cm³)
15.53 10.61 16.86 13.01